No. 1
The following is a PBE-GGA calculation of a relaxed structure of Y2HgP2, from Alexandria.

Relative energy among the computed polymorphs = 0 meV/atom
Formation energy = -0.997 eV/atom
DOS(E_F) = 1.39 states/eV/cell

Cell lengths 7.6492, 7.6492, 3.6951 Å; angles 90.00, 90.00, 90.00 degrees
Positions (direct):
Y (0.1576, 0.3424, 0.0000)
Y (0.3424, 0.8424, 0.0000)
Y (0.6576, 0.1576, 0.0000)
Y (0.8424, 0.6576, 0.0000)
Hg (0.0000, 0.0000, 0.5000)
Hg (0.5000, 0.5000, 0.5000)
P (0.1485, 0.6485, 0.5000)
P (0.3515, 0.1485, 0.5000)
P (0.6485, 0.8515, 0.5000)
P (0.8515, 0.3515, 0.5000)

***

No. 2
The following is a PBE-GGA calculation of a relaxed structure of YHgP2, from Alexandria.

Formation energy = -0.038 eV/atom
DOS(E_F) = 2.82 states/eV/cell

Cell lengths 4.8987, 4.8987, 4.8987 Å; angles 60.00, 60.00, 60.00 degrees
Positions (direct):
Y (0.0000, 0.0000, 0.0000)
Hg (0.2500, 0.2500, 0.2500)
P (0.5000, 0.5000, 0.5000)
P (0.7500, 0.7500, 0.7500)

***

No. 3
The following is a PBE-GGA calculation of a relaxed structure of Y2HgP, from Alexandria.

Relative energy among the computed polymorphs = 212 meV/atom
Formation energy = -0.808 eV/atom
DOS(E_F) = 3.59 states/eV/cell

Cell lengths 3.5943, 3.6689, 7.1356 Å; angles 90.00, 95.54, 90.00 degrees
Positions (direct):
Y (0.0557, 0.0000, 0.2762)
Y (0.9443, 0.0000, 0.7238)
Hg (0.5000, 0.5000, 0.0000)
P (0.5000, 0.5000, 0.5000)

***

No. 4
The following is a PBE-GGA calculation of a relaxed structure of YHgP2, from Alexandria.

Formation energy = -0.410 eV/atom
DOS(E_F) = 1.42 states/eV/cell

Cell lengths 4.6000, 4.6000, 3.7294 Å; angles 90.00, 90.00, 90.00 degrees
Positions (direct):
Y (0.0000, 0.0000, 0.0000)
Hg (0.5000, 0.5000, 0.0000)
P (0.0000, 0.5000, 0.5000)
P (0.5000, 0.0000, 0.5000)

***

No. 5
The following is a PBE-GGA calculation of a relaxed structure of YHgP, from Alexandria.

Relative energy among the computed polymorphs = 296 meV/atom
Formation energy = -0.414 eV/atom
DOS(E_F) = 2.76 states/eV/cell

Cell lengths 4.7117, 4.7117, 4.7117 Å; angles 60.00, 60.00, 60.00 degrees
Positions (direct):
Y (0.0000, 0.0000, 0.0000)
Hg (0.5000, 0.5000, 0.5000)
P (0.2500, 0.2500, 0.2500)

***

No. 6
The following is a PBE-GGA calculation of a relaxed structure of Y2HgP2, from Alexandria.

Relative energy among the computed polymorphs = 223 meV/atom
Formation energy = -0.774 eV/atom
DOS(E_F) = 4.27 states/eV/cell

Cell lengths 5.9423, 5.9423, 5.9423 Å; angles 129.57, 129.57, 74.09 degrees
Positions (direct):
Y (0.2500, 0.7500, 0.5000)
Y (0.7500, 0.2500, 0.5000)
Hg (0.0000, 0.0000, 0.0000)
P (0.3799, 0.3799, 0.0000)
P (0.6201, 0.6201, 0.0000)

***

No. 7
The following is a PBE-GGA calculation of a relaxed structure of Y2HgP, from Alexandria.

Relative energy among the computed polymorphs = 216 meV/atom
Formation energy = -0.803 eV/atom
DOS(E_F) = 2.21 states/eV/cell

Cell lengths 4.1730, 4.1730, 5.9346 Å; angles 90.00, 90.00, 90.00 degrees
Positions (direct):
Y (0.0000, 0.0000, 0.0000)
Y (0.5000, 0.5000, 0.5000)
Hg (0.0000, 0.0000, 0.5000)
P (0.5000, 0.5000, 0.0000)

***

No. 8
The following is a PBE-GGA calculation of a relaxed structure of Y2HgP, from Alexandria.

Relative energy among the computed polymorphs = 258 meV/atom
Formation energy = -0.761 eV/atom
DOS(E_F) = 3.66 states/eV/cell

Cell lengths 7.7994, 7.7994, 7.7994 Å; angles 152.67, 151.05, 40.23 degrees
Positions (direct):
Y (0.0000, 0.0000, 0.0000)
Y (0.7133, 0.2133, 0.5000)
Hg (0.3195, 0.8195, 0.5000)
P (0.5638, 0.5638, 0.0000)